Entry w
NaMg2Re, optimized geometry, DFT GGA-PBE; total magnetic moment = 1.05 μB per formula unit; DOS at the Fermi energy = 4.560 states/eV/f.u.
1.0
-3.383 1.906 -1.653
-0.240 -2.995 -2.964
-7.544 -5.753 3.420
Mg Na Re
4 2 2
Cartesian
-4.123 -0.569 -0.593 Mg
-7.010 -4.641 0.914 Mg
-2.367 -3.124 -1.159 Mg
-8.835 -5.348 -1.555 Mg
-4.798 -4.646 -0.926 Na
-1.812 -0.544 -2.308 Na
0.000 0.000 0.000 Re
-6.370 -2.195 -0.270 Re

Entry x
NaMg2Re, optimized geometry, DFT GGA-PBE; total magnetic moment = 1.66 μB per formula unit; DOS at the Fermi energy = 2.789 states/eV/f.u.
1.0
2.081 -4.285 0.426
-1.479 -3.052 3.372
-2.392 -3.953 -1.235
Re Mg Na
1 2 1
Cartesian
-0.895 -5.645 1.281 Re
-0.448 -2.822 0.641 Mg
-1.343 -8.467 1.922 Mg
0.000 0.000 0.000 Na

In terms of stability, entry x leads; the second structure lies 494 meV/atom higher.

Entry w
NaMg2Rh2, optimized geometry, DFT GGA-PBE; total magnetic moment = 0.00 μB per formula unit; DOS at the Fermi energy = 2.378 states/eV/f.u.
1.0
-2.181 4.315 5.816
-7.013 -2.774 -0.572
0.730 -2.244 1.938
Mg Rh Na
4 4 2
Cartesian
-2.426 2.381 3.670 Mg
-2.804 -0.357 0.642 Mg
-6.767 -0.841 1.574 Mg
-6.390 1.897 4.602 Mg
-3.987 1.582 5.738 Rh
-4.477 -2.285 1.445 Rh
-7.036 -0.709 4.234 Rh
-1.428 0.005 2.949 Rh
0.000 0.000 0.000 Na
-4.597 0.770 2.622 Na

Entry x
NaMg2Rh2, optimized geometry, DFT GGA-PBE; total magnetic moment = 0.00 μB per formula unit; DOS at the Fermi energy = 3.407 states/eV/f.u.
1.0
4.683 0.000 0.000
0.000 4.683 0.000
2.341 2.341 4.712
Mg Rh Na
2 2 1
Cartesian
4.683 2.341 2.356 Mg
2.341 4.683 2.356 Mg
4.683 4.683 3.487 Rh
2.341 2.341 1.225 Rh
0.000 0.000 0.000 Na

Entry y
NaMg2Rh2, optimized geometry, DFT GGA-PBE; total magnetic moment = 0.00 μB per formula unit; DOS at the Fermi energy = 2.159 states/eV/f.u.
1.0
-3.386 -0.962 -6.718
2.495 -7.159 -0.232
-2.559 -0.938 1.424
Rh Mg Na
4 4 2
Cartesian
0.917 -6.591 -2.694 Rh
0.488 -2.779 -0.954 Rh
-1.808 -1.530 -4.257 Rh
-1.379 -5.342 -5.996 Rh
-3.274 -3.690 -4.992 Mg
-2.017 -1.957 -1.593 Mg
-0.177 -5.368 -0.534 Mg
-1.434 -7.102 -3.933 Mg
-0.446 -4.060 -3.475 Na
0.000 0.000 0.000 Na

In terms of stability, entry y leads; the second structure lies 30 meV/atom higher.

Entry w
NaMg2RuW, optimized geometry, DFT GGA-PBE; total magnetic moment = 0.00 μB per formula unit; DOS at the Fermi energy = 5.249 states/eV/f.u.
1.0
5.368 0.000 0.000
0.000 4.569 0.000
0.000 0.000 5.368
W Ru Na Mg
1 1 1 2
Cartesian
0.000 0.000 0.000 W
0.000 2.284 0.000 Ru
2.684 2.284 2.684 Na
0.000 0.000 2.684 Mg
2.684 0.000 0.000 Mg

Entry x
NaMg2RuW, optimized geometry, DFT GGA-PBE; total magnetic moment = 0.69 μB per formula unit; DOS at the Fermi energy = 6.116 states/eV/f.u.
1.0
-4.262 -0.950 0.454
-0.281 -0.944 -4.619
1.020 -4.195 0.795
W Ru Mg Na
1 1 2 1
Cartesian
-1.762 -3.044 -1.685 W
-0.141 -0.472 -2.310 Ru
0.510 -2.097 0.398 Mg
-2.131 -0.475 0.227 Mg
0.000 0.000 0.000 Na

In terms of stability, entry w leads; the second structure lies 786 meV/atom higher.

Entry w
NaMg3S, optimized geometry, DFT GGA-PBE; total magnetic moment = 0.00 μB per formula unit; DOS at the Fermi energy = 3.909 states/eV/f.u.
1.0
5.068 0.000 0.000
0.000 5.068 0.000
0.000 0.000 5.068
Mg Na S
3 1 1
Cartesian
0.000 2.534 0.000 Mg
0.000 0.000 2.534 Mg
2.534 0.000 0.000 Mg
2.534 2.534 2.534 Na
0.000 0.000 0.000 S

Entry x
NaMg3S, optimized geometry, DFT GGA-PBE; total magnetic moment = 0.00 μB per formula unit; DOS at the Fermi energy = 3.140 states/eV/f.u.
1.0
-0.400 -5.273 -0.026
3.099 -0.256 4.277
-4.266 0.309 3.110
S Na Mg
1 1 3
Cartesian
-0.784 -2.610 3.681 S
0.000 0.000 0.000 Na
1.550 -0.128 2.139 Mg
-2.133 0.154 1.555 Mg
-0.200 -2.636 -0.013 Mg

In terms of stability, entry w leads; the second structure lies 829 meV/atom higher.

Entry w
Na3MgS, optimized geometry, DFT GGA-PBE; total magnetic moment = 0.00 μB per formula unit; DOS at the Fermi energy = 5.190 states/eV/f.u.
1.0
-4.698 -2.209 -2.084
0.147 -3.999 3.909
-3.034 3.228 3.416
Na S Mg
3 1 1
Cartesian
-1.517 1.614 1.708 Na
0.073 -1.999 1.955 Na
-2.349 -1.105 -1.042 Na
-3.792 -1.490 2.620 S
0.000 0.000 0.000 Mg

Entry x
Na3MgS, optimized geometry, DFT GGA-PBE; total magnetic moment = 0.00 μB per formula unit; DOS at the Fermi energy = 4.613 states/eV/f.u.
1.0
-1.047 -4.128 -3.332
5.304 -0.766 -0.718
0.076 -3.407 4.198
Na Mg S
3 1 1
Cartesian
0.038 -1.704 2.099 Na
2.652 -0.383 -0.359 Na
-0.523 -2.064 -1.666 Na
2.167 -4.150 0.074 Mg
0.000 0.000 0.000 S

In terms of stability, entry x leads; the second structure lies 748 meV/atom higher.

Entry w
Na2MgSb, optimized geometry, DFT GGA-PBE; total magnetic moment = 0.00 μB per formula unit; DOS at the Fermi energy = 1.866 states/eV/f.u.
1.0
-3.741 -0.392 3.727
-2.722 4.294 1.482
-5.107 0.481 -1.314
Sb Na Mg
1 2 1
Cartesian
-5.785 2.191 1.947 Sb
-2.893 1.096 0.974 Na
-8.678 3.287 2.921 Na
0.000 0.000 0.000 Mg

Entry x
Na2MgSb, optimized geometry, DFT GGA-PBE; total magnetic moment = 0.00 μB per formula unit; DOS at the Fermi energy = 2.524 states/eV/f.u.
1.0
9.132 0.000 0.000
0.000 9.132 0.000
4.566 4.566 3.010
Mg Sb Na
2 2 4
Cartesian
4.566 4.566 0.000 Mg
4.566 9.132 1.505 Mg
0.000 0.000 0.000 Sb
9.132 4.566 1.505 Sb
6.849 6.494 2.258 Na
7.204 2.283 0.753 Na
11.415 11.770 2.258 Na
1.928 6.849 0.753 Na

In terms of stability, entry w leads; the second structure lies 148 meV/atom higher.

Entry w
Na3MgSb, optimized geometry, DFT GGA-PBE; total magnetic moment = 0.00 μB per formula unit; DOS at the Fermi energy = 2.921 states/eV/f.u.
1.0
7.812 -0.632 -0.150
-4.386 6.496 0.150
-3.738 -1.749 6.665
Sb Na Mg
2 6 2
Cartesian
-0.064 4.215 1.938 Sb
-0.034 0.264 4.727 Sb
1.502 3.295 4.447 Na
1.738 1.212 1.820 Na
-3.535 0.361 4.845 Na
-4.345 4.767 1.996 Na
-1.837 3.302 4.820 Na
-1.604 1.178 2.219 Na
0.271 -1.887 6.588 Mg
-2.088 3.425 0.077 Mg

Entry x
Na3MgSb, optimized geometry, DFT GGA-PBE; total magnetic moment = 0.00 μB per formula unit; DOS at the Fermi energy = 0.000 states/eV/f.u.
1.0
5.932 0.000 0.000
0.000 5.932 0.000
0.000 0.000 5.932
Sb Na Mg
1 3 1
Cartesian
0.000 0.000 0.000 Sb
2.966 0.000 0.000 Na
0.000 2.966 0.000 Na
0.000 0.000 2.966 Na
2.966 2.966 2.966 Mg

Entry y
Na3MgSb, optimized geometry, DFT GGA-PBE; total magnetic moment = 0.00 μB per formula unit; DOS at the Fermi energy = 0.699 states/eV/f.u.
1.0
-5.553 0.149 0.647
-0.474 -4.704 -2.987
0.465 -3.021 4.683
Na Sb Mg
3 1 1
Cartesian
-2.776 0.075 0.324 Na
0.232 -1.511 2.342 Na
-0.237 -2.352 -1.494 Na
-2.781 -3.788 1.171 Sb
0.000 0.000 0.000 Mg

In terms of stability, entry w leads; the second structure lies 48 meV/atom higher.

Entry w
NaMg2Sb2, optimized geometry, DFT GGA-PBE; total magnetic moment = 0.00 μB per formula unit; DOS at the Fermi energy = 3.302 states/eV/f.u.
1.0
-3.405 0.044 3.217
2.314 -3.220 2.494
2.621 3.232 6.141
Sb Na Mg
2 1 2
Cartesian
0.222 -0.419 3.652 Sb
1.308 0.475 8.200 Sb
0.000 0.000 0.000 Na
-0.665 0.844 6.106 Mg
2.195 -0.788 5.745 Mg

Entry x
NaMg2Sb2, optimized geometry, DFT GGA-PBE; total magnetic moment = 0.00 μB per formula unit; DOS at the Fermi energy = 1.473 states/eV/f.u.
1.0
8.609 0.000 0.000
0.000 8.609 0.000
0.000 0.000 3.534
Sb Mg Na
4 4 2
Cartesian
2.882 7.186 0.000 Sb
1.422 2.882 0.000 Sb
7.186 5.727 0.000 Sb
5.727 1.422 0.000 Sb
1.130 5.434 1.767 Mg
7.479 3.174 1.767 Mg
3.174 1.130 1.767 Mg
5.434 7.479 1.767 Mg
4.304 4.304 0.000 Na
0.000 0.000 0.000 Na

In terms of stability, entry w leads; the second structure lies 58 meV/atom higher.